VASP calculation (PBE+U) on crystalline AgWNF2 at its relaxed geometry.

**Energy above the lowest structure with this stoichiometry**: 1321 meV per atom
**Size of the total moment**: 3.435 μB/cell

abc: 4.194 4.194 4.286
angles: 90.00 90.00 90.00
Space group P4/mmm (No. 123)
Asymmetric unit:
Ag  0.000  0.000  0.000 (multiplicity 1)
W  0.500  0.500  0.500 (multiplicity 1)
N  0.000  0.000  0.500 (multiplicity 1)
F  0.000  0.500  0.000 (multiplicity 2)